Entry 1:
First-principles (GGA-PBE) data for a relaxed PrReCl crystal, as listed in Alexandria via LeMat-Bulk.

abc: 4.135 4.147 12.080
angles: 83.75 89.89 60.49
Space group P1 (No. 1)
Symmetry-distinct sites (fractional):
Pr1 0.000 0.000 0.000
Pr2 0.418 0.169 0.415
Re1 0.367 0.263 0.173
Re2 0.707 0.585 0.206
Cl1 0.305 0.396 0.854
Cl2 0.782 0.446 0.559

Properties
Uncorrected energy: -43.17 eV/cell
N(E_F): 0.723 states/eV/atom
Density: 6.73 Mg/m³


Entry 2:
First-principles (GGA-PBE) data for a relaxed MnAu2Se crystal, as listed in Alexandria via LeMat-Bulk.

abc: 3.023 4.432 11.817
angles: 90.00 90.00 90.00
Space group Imm2 (No. 44)
Symmetry-distinct sites (fractional):
Mn1 0.000 0.000 0.000
Au1 0.000 0.000 0.559
Au2 0.000 0.500 0.703
Se1 0.000 0.500 0.339

Properties
Uncorrected energy: -38.08 eV/cell
N(E_F): 0.315 states/eV/atom
Density: 11.07 Mg/m³


Entry 3:
First-principles (GGA-PBE) data for a relaxed GaIF3 crystal, as listed in Alexandria via LeMat-Bulk.

abc: 4.239 4.239 4.239
angles: 90.00 90.00 90.00
Space group Pm-3m (No. 221)
Symmetry-distinct sites (fractional):
Ga1 0.000 0.000 0.000
I1 0.500 0.500 0.500
F1 0.000 0.000 0.500

Properties
Energy above the most stable polymorph in this dataset: 664 meV per atom
N(E_F): 0.713 states/eV/atom
Density: 5.53 Mg/m³


Entry 4:
First-principles (GGA-PBE) data for a relaxed Co6ReNi crystal, as listed in Alexandria via LeMat-Bulk.

abc: 7.100 10.048 10.042
angles: 90.00 90.00 90.00
Space group Cmmm (No. 65)
Symmetry-distinct sites (fractional):
Co1 0.000 0.000 0.000
Co2 0.000 0.000 0.500
Co3 0.000 0.248 0.248
Co4 0.000 0.500 0.000
Co5 0.000 0.500 0.500
Co6 0.247 0.126 0.124
Co7 0.249 0.124 0.375
Re1 0.000 0.254 0.500
Re2 0.000 0.500 0.248
Ni1 0.000 0.000 0.247
Ni2 0.000 0.252 0.000

Properties
N(E_F): 1.089 states/eV/atom
Density: 11.10 Mg/m³
E_form: 57 meV/atom


Entry 5:
First-principles (GGA-PBE) data for a relaxed AgOs2Rh2 crystal, as listed in Alexandria via LeMat-Bulk.

abc: 3.609 3.609 12.771
angles: 90.00 90.00 90.00
Space group I4/mmm (No. 139)
Symmetry-distinct sites (fractional):
Ag1 0.000 0.000 0.000
Os1 0.000 0.500 0.250
Rh1 0.000 0.000 0.398

Properties
Energy above the most stable polymorph in this dataset: 189 meV per atom
N(E_F): 0.986 states/eV/atom
Density: 13.86 Mg/m³
E_form: 586 meV/atom


Entry 6:
First-principles (GGA-PBE) data for a relaxed KYZr crystal, as listed in Alexandria via LeMat-Bulk.

abc: 3.507 5.550 12.778
angles: 92.61 97.81 90.00
Space group P1 (No. 1)
Symmetry-distinct sites (fractional):
K1 0.000 0.000 0.000
K2 0.367 0.473 0.733
Y1 0.230 0.928 0.474
Y2 0.717 0.434 0.446
Zr1 0.118 0.571 0.247
Zr2 0.628 0.036 0.266

Properties
Energy above the most stable polymorph in this dataset: 242 meV per atom
N(E_F): 1.541 states/eV/atom
Density: 2.96 Mg/m³
E_form: 407 meV/atom